# CaSiP

CaSiP after structural relaxation (GGA-PBE, Alexandria).

uncorrected formation energy: -4 kJ per mole of atoms
DOS at the Fermi energy: 1.90 states/eV/f.u.

Cell: 6.5838 6.5838 6.5838 Å, 90.00 90.00 90.00°
Element x y z (fractional)
Ca: 0.0000 0.0000 0.0000
Ca: 0.0000 0.5000 0.5000
Ca: 0.5000 0.0000 0.5000
Ca: 0.5000 0.5000 0.0000
Si: 0.0000 0.0000 0.5000
Si: 0.0000 0.5000 0.0000
Si: 0.5000 0.0000 0.0000
Si: 0.5000 0.5000 0.5000
P: 0.2500 0.2500 0.2500
P: 0.2500 0.7500 0.7500
P: 0.7500 0.2500 0.7500
P: 0.7500 0.7500 0.2500